(1)
Below is an optimized crystal structure of Tb2Ho2Mg3, with properties calculated at the PBE-GGA level.

Unit cell a=8.159 b=8.159 c=8.159 alpha=109.47 beta=109.47 gamma=109.47
Positions (direct):
Tb 0.000 0.834 0.500
Tb 0.500 0.000 0.834
Tb 0.666 0.666 0.666
Tb 0.834 0.500 0.000
Ho 0.000 0.358 0.500
Ho 0.142 0.142 0.142
Ho 0.358 0.500 0.000
Ho 0.500 0.000 0.358
Mg 0.137 0.750 0.887
Mg 0.250 0.613 0.363
Mg 0.363 0.250 0.613
Mg 0.613 0.363 0.250
Mg 0.750 0.887 0.137
Mg 0.887 0.137 0.750

SG = No. 199
energy = -3.1113 eV per atom
E_form = 203 meV per atom



(2)
Below is an optimized crystal structure of Li2Mg2ZnRh2, with properties calculated at the PBE-GGA level.

Unit cell a=4.950 b=4.950 c=7.052 alpha=92.71 beta=92.71 gamma=37.05
Positions (direct):
Li 0.212 0.212 0.125
Li 0.788 0.788 0.875
Mg 0.369 0.369 0.581
Mg 0.631 0.631 0.419
Zn 0.500 0.500 0.000
Rh 0.084 0.084 0.733
Rh 0.916 0.916 0.267

SG = No. 12
energy = -3.6289 eV per atom
E_form = -344 meV per atom



(3)
Below is an optimized crystal structure of Ac2HoTe3Rh4, with properties calculated at the PBE-GGA level.

Unit cell a=4.548 b=4.548 c=11.327 alpha=90.00 beta=90.00 gamma=90.00
Positions (direct):
Ac 0.000 0.500 0.224
Ac 0.500 0.000 0.776
Ho 0.000 0.000 0.500
Te 0.000 0.500 0.870
Te 0.500 0.000 0.130
Te 0.500 0.500 0.500
Rh 0.000 0.000 0.000
Rh 0.000 0.500 0.639
Rh 0.500 0.000 0.361
Rh 0.500 0.500 0.000

SG = No. 115
energy = -6.0329 eV per atom
energy relative to the elements, uncorrected = -0.8703 eV per atom



(4)
Below is an optimized crystal structure of LaTb2As3, with properties calculated at the PBE-GGA level.

Unit cell a=7.308 b=7.308 c=7.308 alpha=146.44 beta=131.73 gamma=60.08
Positions (direct):
La 0.000 0.000 0.000
Tb 0.334 0.334 0.000
Tb 0.666 0.666 0.000
As 0.173 0.673 0.500
As 0.500 0.000 0.500
As 0.827 0.327 0.500

SG = No. 71
energy = -6.2251 eV per atom
E_form = -1536 meV per atom



(5)
Below is an optimized crystal structure of La6Rh2AuCl3, with properties calculated at the PBE-GGA level.

Unit cell a=7.345 b=7.345 c=7.975 alpha=98.74 beta=98.74 gamma=120.10
Positions (direct):
La 0.080 0.430 0.790
La 0.219 0.219 0.210
La 0.430 0.080 0.790
La 0.570 0.920 0.210
La 0.781 0.781 0.790
La 0.920 0.570 0.210
Rh 0.166 0.834 0.000
Rh 0.834 0.166 0.000
Au 0.500 0.500 0.000
Cl 0.000 0.000 0.500
Cl 0.330 0.670 0.500
Cl 0.670 0.330 0.500

SG = No. 12
energy = -5.6609 eV per atom
energy relative to the elements, uncorrected = -1.2372 eV per atom



(6)
Below is an optimized crystal structure of AcGeAu3, with properties calculated at the PBE-GGA level.

Unit cell a=8.697 b=4.851 c=11.003 alpha=90.00 beta=90.00 gamma=90.00
Positions (direct):
Ac 0.206 0.250 0.004
Ac 0.294 0.750 0.504
Ac 0.706 0.250 0.496
Ac 0.794 0.750 0.996
Ge 0.085 0.250 0.636
Ge 0.415 0.750 0.136
Ge 0.585 0.250 0.864
Ge 0.915 0.750 0.364
Au 0.074 0.250 0.388
Au 0.102 0.750 0.829
Au 0.130 0.750 0.204
Au 0.370 0.250 0.704
Au 0.398 0.250 0.329
Au 0.426 0.750 0.888
Au 0.574 0.250 0.112
Au 0.602 0.750 0.671
Au 0.630 0.750 0.296
Au 0.870 0.250 0.796
Au 0.898 0.250 0.171
Au 0.926 0.750 0.612

SG = No. 62
energy = -4.2478 eV per atom
E_form = -536 meV per atom
E above lowest polymorph = 5.3 kJ per mole of atoms



(7)
Below is an optimized crystal structure of Pm2GdDy, with properties calculated at the PBE-GGA level.

Unit cell a=5.103 b=5.103 c=5.088 alpha=90.00 beta=90.00 gamma=90.00
Positions (direct):
Pm 0.000 0.500 0.000
Pm 0.500 0.000 0.000
Gd 0.000 0.000 0.500
Dy 0.500 0.500 0.500

SG = No. 123
energy = -7.0328 eV per atom
E_form = 13 meV per atom
E above lowest polymorph = 0.0 kJ per mole of atoms



(8)
Below is an optimized crystal structure of Nb4VS8, with properties calculated at the PBE-GGA level.

Unit cell a=6.690 b=6.690 c=12.266 alpha=90.00 beta=90.00 gamma=120.00
Positions (direct):
Nb 0.000 0.000 0.250
Nb 0.000 0.000 0.750
Nb 0.010 0.505 0.250
Nb 0.495 0.505 0.250
Nb 0.495 0.990 0.250
Nb 0.505 0.010 0.750
Nb 0.505 0.495 0.750
Nb 0.990 0.495 0.750
V 0.000 0.000 0.000
V 0.000 0.000 0.500
S 0.166 0.332 0.621
S 0.166 0.332 0.879
S 0.166 0.834 0.621
S 0.166 0.834 0.879
S 0.332 0.166 0.121
S 0.332 0.166 0.379
S 0.333 0.667 0.120
S 0.333 0.667 0.380
S 0.667 0.333 0.620
S 0.667 0.333 0.880
S 0.668 0.834 0.621
S 0.668 0.834 0.879
S 0.834 0.166 0.121
S 0.834 0.166 0.379
S 0.834 0.668 0.121
S 0.834 0.668 0.379

SG = No. 194
energy = -7.4915 eV per atom
energy relative to the elements, uncorrected = -1.1517 eV per atom
E above lowest polymorph = 0.0 kJ per mole of atoms



The highest energy belongs to which entry? Tb2Ho2Mg3